Compound: Ce2NbCd
Source: Alexandria
Functional: PBE-GGA
Structure: optimized geometry

Total DFT energy (no corrections): -5.446 eV per atom
Energy of formation: 0.267 eV per atom
Fermi-level density of states: 8.317 states/eV per cell
ρ: 8.7 Mg/m³
SG: R-3m

Unit cell a=3.0386 b=3.0386 c=11.7673 alpha=82.58 beta=82.58 gamma=60.00
Atoms (fractional coordinates):
Cd 0.5000 0.5000 0.5000
Ce 0.9183 0.9183 0.2451
Ce 0.0817 0.0817 0.7549
Nb 0.0000 0.0000 0.0000